[1]
12
Lattice="3.021 0.000 0.000 -1.510 2.616 0.000 0.000 0.000 26.827" Properties=species:S:1:pos:R:3 comment="Mn2CdAu, relaxed, DFT GGA-PBE" n_ef_per_ev_atom=0.467 total_magnetization_mub_per_cell=23.610 mass_density_g_cm3=9.9 delta_e_f_mev_per_atom=255 space_group=R-3m crystal_system=trigonal pbc="T T T"
Mn 0.000 0.000 6.617
Mn 0.000 0.000 20.210
Mn 0.000 1.744 11.267
Mn 0.000 1.744 24.501
Mn 1.510 0.872 2.325
Mn 1.510 0.872 15.559
Cd 0.000 0.000 0.000
Cd 0.000 1.744 17.884
Cd 1.510 0.872 8.942
Au 0.000 0.000 13.413
Au 0.000 1.744 4.471
Au 1.510 0.872 22.355



[2]
8
Lattice="4.599 0.000 0.000 0.000 4.599 0.000 0.000 0.000 9.197" Properties=species:S:1:pos:R:3 comment="CeZr3, relaxed, DFT GGA-PBE" n_ef_per_ev_atom=1.730 total_magnetization_mub_per_cell=0.000 relative_energy_mev_per_atom=2 mass_density_g_cm3=7.1 delta_e_f_mev_per_atom=88 space_group=I4/mmm crystal_system=tetragonal pbc="T T T"
Ce 0.000 0.000 0.000
Ce 2.299 2.299 4.598
Zr 0.000 0.000 4.598
Zr 0.000 2.299 2.299
Zr 0.000 2.299 6.898
Zr 2.299 0.000 2.299
Zr 2.299 0.000 6.898
Zr 2.299 2.299 0.000



[3]
11
Lattice="4.716 0.000 0.000 -2.358 4.084 0.000 0.000 0.000 17.371" Properties=species:S:1:pos:R:3 comment="Ba3Na2Ga2Au4, relaxed, DFT GGA-PBE" n_ef_per_ev_atom=0.563 total_magnetization_mub_per_cell=0.000 mass_density_g_cm3=6.9 delta_e_f_mev_per_atom=-511 space_group=P-3m1 crystal_system=trigonal pbc="T T T"
Ba 0.000 0.000 0.000
Ba 0.000 0.000 4.541
Ba 0.000 0.000 12.830
Na 0.000 2.723 9.645
Na 2.358 1.361 7.726
Ga 0.000 2.723 2.322
Ga 2.358 1.361 15.050
Au 0.000 2.723 6.501
Au 0.000 2.723 15.055
Au 2.358 1.361 2.317
Au 2.358 1.361 10.870